Here is a geometry-optimized TbPr6Cd5 structure from the Alexandria database. Energies are from PBE.

Cell lengths 5.497, 7.855, 16.623 Å; angles 90.00, 90.00, 90.00 degrees
Space group Immm (No. 71)
Unique sites:
Tb (0.000, 0.000, 0.000) x2
Pr (0.000, 0.234, 0.500) x4
Pr (0.000, 0.256, 0.171) x8
Cd (0.000, 0.000, 0.332) x4
Cd (0.000, 0.500, 0.000) x2
Cd (0.000, 0.500, 0.344) x4

DOS(E_F) ... 16.3 states/eV/f.u.
Formation energy ... -22.1 kJ/mol of atoms



Here is a geometry-optimized BPN2F structure from the Alexandria database. Energies are from PBE.

Cell lengths 3.370, 3.370, 4.084 Å; angles 90.00, 90.00, 90.00 degrees
Space group P4/mmm (No. 123)
Unique sites:
B (0.000, 0.000, 0.000) x1
P (0.500, 0.500, 0.500) x1
N (0.000, 0.500, 0.500) x2
F (0.500, 0.500, 0.000) x1

DOS(E_F) ... 0.9 states/eV/f.u.
Energy relative to the lowest polymorph listed for this composition ... 0.240 eV per atom